[1]
Below is a geometry-optimized ZnSeI2O structure, with properties calculated at the PBEsol level.

Output
SG = P4/mmm, No. 123

```
5
Lattice="-0.479 3.590 -1.104 -5.031 -1.393 -2.346 -2.630 1.169 4.947" Properties=species:S:1:pos:R:3 pbc="T T T"
I -1.315 0.585 2.473
I -2.516 -0.696 -1.173
Zn -4.070 1.684 0.749
O -0.240 1.795 -0.552
Se 0.000 0.000 0.000
```


[2]
Below is a geometry-optimized SiI2O2 structure, with properties calculated at the PBEsol level.

Output
SG = P4/mmm, No. 123

```
5
Lattice="3.348 0.000 0.000 0.000 5.410 0.000 0.000 0.000 5.410" Properties=species:S:1:pos:R:3 pbc="T T T"
I 0.000 0.000 2.705
I 0.000 2.705 0.000
Si 0.000 0.000 0.000
O 1.674 2.705 2.705
O 1.674 0.000 0.000
```


[3]
Below is a geometry-optimized SiSnI2O structure, with properties calculated at the PBEsol level.

Output
SG = P4/mmm, No. 123

```
5
Lattice="-3.685 1.390 -0.407 0.022 -1.608 -5.688 -2.162 -5.296 1.489" Properties=species:S:1:pos:R:3 pbc="T T T"
I -1.081 -2.648 0.744
I 0.011 -0.804 -2.844
Si -2.913 -2.757 -2.303
Sn 0.000 0.000 0.000
O -1.843 0.695 -0.204
```


Per-record raw formation energy, meV per atom: 113.4 -16.1 117.9
Per-record theoretical density, g cm⁻³: 5.55 5.32 5.00